{"formula": "Na2CrTeO6", "functional": "GGA+U", "state": "optimized geometry", "lattice": [[-2.210, -2.353, -2.092], [3.392, 0.633, -4.294], [2.971, -4.311, 1.711]], "species": ["O", "O", "O", "O", "O", "O", "Cr", "Na", "Na", "Te"], "frac_coords": [[0.646, 0.756, 0.244], [0.646, 0.244, 0.756], [0.145, 0.000, 0.000], [0.646, 0.244, 0.244], [0.145, 0.500, 0.500], [0.646, 0.756, 0.756], [0.644, 0.500, 0.500], [0.143, 0.000, 0.500], [0.143, 0.500, 0.000], [0.645, 0.000, 0.000]], "dft_energy_ev_per_atom": -5.620}